No. 1
Zr2MnHg GGA-PBEsol relaxed; size of the total moment = 0.0 μB/f.u.; formation energy from the elements = -181 meV/atom; E = -7.308 eV per atom
1.0
3.154 0.000 0.000
0.000 3.154 0.000
0.000 0.000 7.324
Zr Mn Hg
2 1 1
Direct
0.000 0.000 0.209
0.000 0.000 0.791
0.500 0.500 0.000
0.500 0.500 0.500

---

No. 2
As2PdW GGA-PBEsol relaxed; size of the total moment = 0.0 μB/f.u.; formation energy from the elements = 416 meV/atom; E = -7.078 eV per atom
1.0
-2.823 2.823 5.453
2.823 -2.823 5.453
2.823 2.823 -5.453
As Pd W
4 2 2
Direct
0.121 0.625 0.996
0.375 0.371 0.496
0.629 0.125 0.004
0.875 0.879 0.504
0.250 0.750 0.500
0.500 0.500 0.000
0.000 0.000 0.000
0.750 0.250 0.500

---

No. 3
ZrMoP GGA-PBEsol relaxed; size of the total moment = 0.0 μB/f.u.; formation energy from the elements = 196 meV/atom; E = -8.687 eV per atom
1.0
0.000 3.010 3.010
3.010 0.000 3.010
3.010 3.010 0.000
Zr Mo P
1 1 1
Direct
0.000 0.000 0.000
0.750 0.750 0.750
0.500 0.500 0.500

---

Repeat the second record exactly.
As2PdW GGA-PBEsol relaxed; size of the total moment = 0.0 μB/f.u.; formation energy from the elements = 416 meV/atom; E = -7.078 eV per atom
1.0
-2.823 2.823 5.453
2.823 -2.823 5.453
2.823 2.823 -5.453
As Pd W
4 2 2
Direct
0.121 0.625 0.996
0.375 0.371 0.496
0.629 0.125 0.004
0.875 0.879 0.504
0.250 0.750 0.500
0.500 0.500 0.000
0.000 0.000 0.000
0.750 0.250 0.500